Material: ScGeSbI2
Method: DFT, meta-GGA SCAN
State: PBEsol geometry

```
ScGeSbI2
1.0
5.3855 0.0000 0.0000
0.0000 5.3855 0.0000
0.0000 0.0000 5.5151
Sc Ge Sb I
1 1 1 2
Direct
0.0000 0.0000 0.0000 Sc
0.5000 0.5000 0.5000 Ge
0.5000 0.5000 0.0000 Sb
0.0000 0.5000 0.5000 I
0.5000 0.0000 0.5000 I
```

- ρ: 5.12 g/cm3
- Formation energy without anion corrections: 0.319 eV/atom